{
  "formula": "AgTeI2",
  "functional": "meta-GGA SCAN",
  "state": "single point on PBEsol structure",
  "formation_energy_uncorrected_mev_per_atom": 535,
  "dos_ef_per_ev_cell": 4.1,
  "magnetic_moment_mub_per_cell": 0.000,
  "spacegroup": "No. 225",
  "cell": [[5.3807, 0.0000, 0.0000], [2.6904, 4.6599, 0.0000], [2.6904, 1.5533, 4.3934]],
  "species": ["I", "I", "Te", "Ag"],
  "frac_coords": [[0.7500, 0.7500, 0.7500], [0.2500, 0.2500, 0.2500], [0.5000, 0.5000, 0.5000], [0.0000, 0.0000, 0.0000]]
}